Material: La2InRuAu
Method: DFT, PBE-GGA
State: optimized geometry

The structure belongs to space group P4/mmm (No. 123); the cell edges are 5.3914, 5.3914 and 5.1564 Å and the angles 90.00°, 90.00° and 90.00°. The asymmetric unit holds La at (0.0000, 0.5000, 0.0000), In at (0.0000, 0.0000, 0.5000), Ru at (0.0000, 0.0000, 0.0000) and Au at (0.5000, 0.5000, 0.5000).

Its raw total energy is -26.99 eV per cell. The calculated density comes out at 7.65 g/cm3. For the formation energy, the calculation gives -1.8 eV per formula unit. The energy above the most stable polymorph in this dataset comes out at 184.9 meV per atom. For the size of the total moment, the calculation gives 0.00 Bohr magnetons per cell.